(1)
Compound: Nd2InNi
Source: Alexandria via LeMat-Bulk
Functional: PBE-GGA
Structure: relaxed

## Properties
The space group is R-3m, No. 166. The value obtained for the energy above the most stable polymorph in this dataset is 0.3547 eV per atom. Its total magnetic moment is 0.00 μB/f.u. For the formation enthalpy at 0 K, the calculation gives 12 meV/atom.

Geometry as POSCAR:
```
Nd2InNi
1.0
3.832 0.000 0.000
1.916 3.318 0.000
1.916 1.106 9.984
Nd In Ni
2 1 1
direct
0.111 0.111 0.667
0.889 0.889 0.333
0.000 0.000 0.000
0.500 0.500 0.500
```

---

(2)
Compound: Nd6In2Ni
Source: Alexandria via LeMat-Bulk
Functional: PBE-GGA
Structure: relaxed

## Properties
The space group is P-62m, No. 189. Its total magnetic moment is 0.00 μB/f.u. For the formation enthalpy at 0 K, the calculation gives -295 meV/atom.

Geometry as POSCAR:
```
Nd6In2Ni
1.0
3.805 0.000 0.000
0.000 9.011 0.000
0.000 -4.506 7.804
Nd Ni In
6 1 2
direct
0.000 0.763 0.763
0.000 0.000 0.237
0.000 0.237 0.000
0.500 0.402 0.402
0.500 0.598 0.000
0.500 0.000 0.598
0.500 0.000 0.000
0.000 0.667 0.333
0.000 0.333 0.667
```

---

(3)
Compound: Nd7In2Ni2
Source: Alexandria via LeMat-Bulk
Functional: PBE-GGA
Structure: relaxed

## Properties
The space group is Cmmm, No. 65. Its total magnetic moment is 0.00 μB/f.u. For the formation enthalpy at 0 K, the calculation gives -192 meV/atom.

Geometry as POSCAR:
```
Nd7In2Ni2
1.0
-6.212 3.131 1.083
-3.365 -6.076 -1.738
2.172 -2.927 6.024
Nd Ni In
7 2 2
direct
0.500 0.248 0.000
0.000 0.000 0.000
0.500 0.752 0.000
0.500 0.763 0.500
0.000 0.752 0.500
0.500 0.237 0.500
0.000 0.248 0.500
0.293 0.000 0.707
0.707 0.000 0.293
0.828 0.500 0.828
0.172 0.500 0.172
```

---

(4)
Compound: Nd12InNi5
Source: Alexandria via LeMat-Bulk
Functional: PBE-GGA
Structure: relaxed

## Properties
The space group is Immm, No. 71. Its total magnetic moment is 0.00 μB/f.u. For the formation enthalpy at 0 K, the calculation gives -251 meV/atom.

Geometry as POSCAR:
```
Nd12InNi5
1.0
-4.760 1.311 7.084
-4.779 -3.918 -6.030
6.761 -5.143 1.550
Nd Ni In
12 5 1
direct
0.518 0.819 0.699
0.189 0.395 0.206
0.307 0.677 0.985
0.693 0.323 0.015
0.881 0.181 0.699
0.693 0.677 0.370
0.119 0.819 0.301
0.482 0.181 0.301
0.307 0.323 0.630
0.811 0.017 0.206
0.811 0.605 0.794
0.189 0.983 0.794
0.500 0.877 0.377
0.369 0.369 0.000
0.000 0.000 0.000
0.500 0.123 0.623
0.631 0.631 0.000
0.000 0.500 0.500
```

---

(5)
Compound: Nd12In6Ni
Source: Alexandria via LeMat-Bulk
Functional: PBE-GGA
Structure: relaxed

## Properties
The space group is R-3, No. 148. Its total magnetic moment is 0.00 μB/f.u. For the formation enthalpy at 0 K, the calculation gives -220 meV/atom.

Geometry as POSCAR:
```
Nd12In6Ni
1.0
-1.505 -6.736 -4.963
5.846 -3.998 4.701
-6.378 -1.742 5.344
In Nd Ni
6 12 1
direct
0.736 0.335 0.141
0.335 0.141 0.736
0.141 0.736 0.335
0.264 0.665 0.859
0.665 0.859 0.264
0.859 0.264 0.665
0.569 0.457 0.803
0.985 0.088 0.320
0.912 0.680 0.015
0.320 0.985 0.088
0.197 0.431 0.543
0.015 0.912 0.680
0.680 0.015 0.912
0.543 0.197 0.431
0.803 0.569 0.457
0.088 0.320 0.985
0.457 0.803 0.569
0.431 0.543 0.197
0.000 0.000 0.000
```

---

(6)
Compound: Nd12InNi6
Source: Alexandria via LeMat-Bulk
Functional: PBE-GGA
Structure: relaxed

## Properties
The space group is Im-3, No. 204. Its total magnetic moment is 0.00 μB/f.u. For the formation enthalpy at 0 K, the calculation gives -276 meV/atom.

Geometry as POSCAR:
```
Nd12InNi6
1.0
8.717 0.000 0.000
-2.906 8.218 0.000
-2.906 -4.109 7.117
Nd In Ni
12 1 6
direct
0.814 0.694 0.508
0.879 0.186 0.694
0.306 0.121 0.814
0.121 0.814 0.306
0.492 0.186 0.306
0.186 0.694 0.879
0.508 0.814 0.694
0.186 0.306 0.492
0.694 0.879 0.186
0.814 0.306 0.121
0.694 0.508 0.814
0.306 0.492 0.186
0.000 0.000 0.000
0.500 0.121 0.621
0.379 0.500 0.879
0.121 0.621 0.500
0.621 0.500 0.121
0.879 0.379 0.500
0.500 0.879 0.379
```

---

(7)
Compound: Nd2InNi
Source: Alexandria via LeMat-Bulk
Functional: PBE-GGA
Structure: relaxed

## Properties
The space group is P4/mmm, No. 123. The value obtained for the energy above the most stable polymorph in this dataset is 0.0000 eV per atom. Its total magnetic moment is 0.00 μB/f.u. For the formation enthalpy at 0 K, the calculation gives -342 meV/atom.

Geometry as POSCAR:
```
Nd2InNi
1.0
3.583 0.000 0.000
0.000 3.583 0.000
0.000 0.000 7.862
Nd Ni In
2 1 1
direct
0.000 0.000 0.215
0.000 0.000 0.785
0.500 0.500 0.000
0.500 0.500 0.500
```

---

(8)
Compound: Nd5In2Ni
Source: Alexandria via LeMat-Bulk
Functional: PBE-GGA
Structure: relaxed

## Properties
The space group is I4mm, No. 107. Its total magnetic moment is 0.00 μB/f.u. For the formation enthalpy at 0 K, the calculation gives -181 meV/atom.

Geometry as POSCAR:
```
Nd5In2Ni
1.0
-3.138 6.422 0.330
0.316 -0.212 7.145
5.502 -1.100 -3.859
In Ni Nd
2 1 5
direct
0.732 0.232 0.463
0.232 0.731 0.463
0.138 0.138 0.276
0.233 0.734 0.967
0.734 0.233 0.967
0.233 0.233 0.966
0.743 0.743 0.485
0.733 0.733 0.966
```

---

(9)
Compound: NdIn2Ni2
Source: Alexandria via LeMat-Bulk
Functional: PBE-GGA
Structure: relaxed

## Properties
The space group is P2_1/m, No. 11. The value obtained for the energy above the most stable polymorph in this dataset is 0.0153 eV per atom. Its total magnetic moment is 0.00 μB/f.u. For the formation enthalpy at 0 K, the calculation gives -335 meV/atom.

Geometry as POSCAR:
```
NdIn2Ni2
1.0
-4.136 -1.001 0.890
1.045 -0.261 4.565
-2.421 9.824 -0.201
Ni Nd In
4 2 4
direct
0.750 0.196 0.360
0.750 0.635 0.006
0.250 0.365 0.994
0.250 0.804 0.640
0.250 0.709 0.240
0.750 0.291 0.760
0.750 0.738 0.496
0.250 0.262 0.504
0.250 0.836 0.892
0.750 0.164 0.108
```

---

(10)
Compound: NdIn6Ni4
Source: Alexandria via LeMat-Bulk
Functional: PBE-GGA
Structure: relaxed

## Properties
The space group is I-42m, No. 121. Its total magnetic moment is 0.00 μB/f.u. For the formation enthalpy at 0 K, the calculation gives -284 meV/atom.

Geometry as POSCAR:
```
NdIn6Ni4
1.0
6.772 -0.158 -0.233
-3.271 5.931 0.233
-3.271 -1.964 5.601
In Nd Ni
6 1 4
direct
0.000 0.892 0.528
0.636 0.108 0.108
0.500 0.500 0.000
0.364 0.472 0.472
0.000 0.528 0.892
0.500 0.000 0.500
0.000 0.000 0.000
0.674 0.407 0.407
0.000 0.267 0.593
0.000 0.593 0.267
0.326 0.733 0.733
```

---

> What is the total magnetic moment in the eighth record?

0.00 μB/f.u.